{"formula": "CdCuSiIr", "functional": "PBE-GGA", "state": "optimized geometry", "lattice_angstrom": [[0.000, 3.099, 3.099], [3.099, 0.000, 3.099], [3.099, 3.099, 0.000]], "species": ["Cd", "Cu", "Ir", "Si"], "frac_coords": [[0.500, 0.500, 0.500], [0.750, 0.750, 0.750], [0.250, 0.250, 0.250], [0.000, 0.000, 0.000]], "space_group": "No. 216", "dft_energy_ev_per_cell": -18.424, "polymorph_energy_kj_per_mol_atoms": 0.0}